Here is a relaxed CoMo4Cl crystal from Alexandria via LeMat-Bulk. Energies are from GGA-PBE.

Calculated values
Total magnetic moment = 1.25 μB per formula unit
Raw formation energy = 1.02 eV/atom

Unit cell a=7.390 b=7.390 c=7.390 alpha=90.00 beta=90.00 gamma=90.00
Space group F-43m (No. 216)
Symmetry-distinct sites (fractional):
Co (0.000, 0.000, 0.000) (multiplicity 4)
Mo (0.125, 0.125, 0.625) (multiplicity 16)
Cl (0.250, 0.250, 0.250) (multiplicity 4)

---

Here is a relaxed RbRu3Br crystal from Alexandria via LeMat-Bulk. Energies are from GGA-PBE.

Calculated values
Total magnetic moment = 4.02 μB per formula unit
ΔE to the lowest computed polymorph = 0 meV/atom
Raw formation energy = 1.62 eV/atom

Unit cell a=4.796 b=4.796 c=4.796 alpha=90.00 beta=90.00 gamma=90.00
Space group Pm-3m (No. 221)
Symmetry-distinct sites (fractional):
Rb (0.000, 0.000, 0.000) (multiplicity 1)
Ru (0.000, 0.500, 0.500) (multiplicity 3)
Br (0.500, 0.500, 0.500) (multiplicity 1)